1.
Material: Zn4AgPd15
Method: DFT, PBE
State: relaxed

Values from the calculation:
**Total moment**: 0.002 Bohr magnetons per cell
**E_form**: -4.9 eV/f.u.

CIF file:
```
data_Zn4AgPd15
_chemical_formula_sum 'Zn4 Ag1 Pd15'
_cell_length_a 3.949
_cell_length_b 3.949
_cell_length_c 19.584
_cell_angle_alpha 90.00
_cell_angle_beta 90.00
_cell_angle_gamma 90.00
_space_group_name_H-M_alt 'P 4/m m m'
_space_group_IT_number 123
_space_group_name_Hall '-P 4 2'
loop_
_atom_site_label
_atom_site_type_symbol
_atom_site_fract_x
_atom_site_fract_y
_atom_site_fract_z
_atom_site_occupancy
Zn1 Zn 0.000 0.000 0.099 1
Zn2 Zn 0.000 0.000 0.296 1
Ag1 Ag 0.000 0.000 0.500 1
Pd1 Pd 0.000 0.500 0.000 1
Pd2 Pd 0.000 0.500 0.198 1
Pd3 Pd 0.000 0.500 0.395 1
Pd4 Pd 0.500 0.500 0.099 1
Pd5 Pd 0.500 0.500 0.297 1
Pd6 Pd 0.500 0.500 0.500 1
```

=====

2.
Material: Zn3AgPd
Method: DFT, PBE
State: relaxed

Values from the calculation:
**Total moment**: 0.000 Bohr magnetons per cell
**Relative energy among the computed polymorphs**: 453.8 meV/atom
**E_form**: 1.1 eV/f.u.

CIF file:
```
data_Zn3AgPd
_chemical_formula_sum 'Zn3 Ag1 Pd1'
_cell_length_a 4.780
_cell_length_b 4.780
_cell_length_c 4.780
_cell_angle_alpha 90.00
_cell_angle_beta 90.00
_cell_angle_gamma 90.00
_space_group_name_H-M_alt 'P m -3 m'
_space_group_IT_number 221
_space_group_name_Hall '-P 4 2 3'
loop_
_atom_site_label
_atom_site_type_symbol
_atom_site_fract_x
_atom_site_fract_y
_atom_site_fract_z
_atom_site_occupancy
Zn1 Zn 0.000 0.000 0.500 1
Ag1 Ag 0.500 0.500 0.500 1
Pd1 Pd 0.000 0.000 0.000 1
```

=====

3.
Material: Zn6AgPd12
Method: DFT, PBE
State: relaxed

Values from the calculation:
**Total moment**: 0.000 Bohr magnetons per cell
**E_form**: -4.1 eV/f.u.

CIF file:
```
data_Zn6AgPd12
_chemical_formula_sum 'Zn18 Ag3 Pd36'
_cell_length_a 11.2253
_cell_length_b 11.2253
_cell_length_c 8.2979
_cell_angle_alpha 90.00
_cell_angle_beta 90.00
_cell_angle_gamma 120.00
_space_group_name_H-M_alt 'R -3 m'
_space_group_IT_number 166
_space_group_name_Hall '-R 3 2"'
loop_
_atom_site_label
_atom_site_type_symbol
_atom_site_fract_x
_atom_site_fract_y
_atom_site_fract_z
_atom_site_occupancy
Zn1 Zn 0.0925 0.1849 0.2514 1
Ag1 Ag 0.0000 0.0000 0.5000 1
Pd1 Pd 0.0000 0.2642 0.5000 1
Pd2 Pd 0.0940 0.5470 0.6019 1
```

=====

4.
Material: Zn5AgPd6
Method: DFT, PBE
State: relaxed

Values from the calculation:
**Total moment**: 0.000 Bohr magnetons per cell
**E_form**: -5.8 eV/f.u.

CIF file:
```
data_Zn5AgPd6
_chemical_formula_sum 'Zn10 Ag2 Pd12'
_cell_length_a 4.156
_cell_length_b 6.962
_cell_length_c 12.286
_cell_angle_alpha 90.00
_cell_angle_beta 90.00
_cell_angle_gamma 90.00
_space_group_name_H-M_alt 'I m m m'
_space_group_IT_number 71
_space_group_name_Hall '-I 2 2'
loop_
_atom_site_label
_atom_site_type_symbol
_atom_site_fract_x
_atom_site_fract_y
_atom_site_fract_z
_atom_site_occupancy
Zn1 Zn 0.000 0.000 0.000 1
Zn2 Zn 0.000 0.000 0.343 1
Zn3 Zn 0.000 0.500 0.327 1
Ag1 Ag 0.000 0.500 0.000 1
Pd1 Pd 0.000 0.236 0.171 1
Pd2 Pd 0.000 0.272 0.500 1
```